Here is FeH7C3NO6 after structural relaxation from the Alexandria database. Energies are from PBE+U.

Structure (CIF):
```
data_FeH7C3NO6
_chemical_formula_sum 'Fe6 H42 C18 N6 O36'
_space_group_name_H-M_alt 'P 63'
_space_group_IT_number 173
_cell_length_a 12.7733
_cell_length_b 12.7733
_cell_length_c 8.5523
_cell_angle_alpha 90.00
_cell_angle_beta 90.00
_cell_angle_gamma 120.00
loop_
_space_group_symop_operation_xyz
'x,y,z'
'x-y,x,z+1/2'
'-y,x-y,z'
'-x,-y,z+1/2'
'-x+y,-x,z'
'y,-x+y,z+1/2'
loop_
_atom_site_label
_atom_site_fract_x
_atom_site_fract_y
_atom_site_fract_z
Fe1 0.0047 0.6693 0.0000
H1 0.0000 0.0000 0.0597
H2 0.0259 0.9381 0.9018
H3 0.0530 0.5467 0.2874
H4 0.1289 0.8561 0.2602
H5 0.1758 0.7875 0.7195
H6 0.2455 0.6041 0.5993
H7 0.2709 0.6918 0.0992
H8 0.3333 0.6667 0.4415
H9 0.3333 0.6667 0.9412
C1 0.0441 0.5152 0.7645
C2 0.1401 0.8497 0.7366
C3 0.1856 0.3722 0.2548
N1 0.0000 0.0000 0.4401
N2 0.3333 0.6667 0.0609
N3 0.3333 0.6667 0.5611
O1 0.0624 0.2347 0.6438
O2 0.0681 0.8272 0.8519
O3 0.0902 0.4915 0.6466
O4 0.1020 0.6046 0.8546
O5 0.1526 0.4249 0.3515
O6 0.1613 0.7346 0.1488
```

Properties
* total magnetic moment: 0.222 μB per atom
* total DFT energy (no corrections): -666.1 eV per cell